Crystalline CePu2Pt3 at its relaxed geometry. Source: the Alexandria database, functional PBE.

Geometry as POSCAR:
```
CePu2Pt3
1.0
-2.6079 -1.4059 4.9747
7.2641 -2.1672 3.1957
0.2988 6.9980 -1.2352
Ce Pu Pt
2 4 6
direct
0.9997 0.7500 0.0000 Ce
0.0003 0.2500 0.0000 Ce
0.6664 0.5830 0.3322 Pu
0.6659 0.0830 0.3322 Pu
0.3342 0.9170 0.6678 Pu
0.3336 0.4170 0.6678 Pu
0.5003 0.2500 0.0000 Pt
0.4997 0.7500 0.0000 Pt
0.1670 0.0837 0.3346 Pt
0.8324 0.4163 0.6654 Pt
0.1676 0.5837 0.3346 Pt
0.8330 0.9163 0.6654 Pt
```

Results
- DFT formation energy (meV/atom) = -831.4
- total magnetization (μB/f.u.) = 11.0
- mass density (g cm⁻³) = 13.730